PBEsol SbWAu2, relaxed; magnetic moment = 0.00 μB/cell; ΔE_f (raw) = 0.346 eV/atom; DOS(E_F) = 0.537 states/eV/atom; energy = -6.2069 eV/atom; space group = P4/mmm (123)
1.0
2.8997 0.0000 0.0000
0.0000 2.8997 0.0000
0.0000 0.0000 8.8778
Sb W Au
1 1 2
direct
0.0000 0.0000 0.0000
0.0000 0.0000 0.5000
0.5000 0.5000 0.2827
0.5000 0.5000 0.7173